(1)
DFT (PBE) results for a relaxed structure of Na4Ce3PaTe8.

Lattice parameters (Å, degrees): 9.043 9.200 9.043 119.44 120.00 90.00
Each line ends with the local moment (μB).
Positions (direct):
Te1 0.757 0.261 0.514  -0.03
Te2 0.243 0.739 0.997  -0.03
Te3 0.757 0.261 0.003  -0.03
Te4 0.243 0.739 0.486  -0.03
Te5 0.253 0.258 0.505  -0.02
Te6 0.747 0.742 0.495  -0.02
Te7 0.246 0.261 0.003  -0.03
Te8 0.754 0.739 0.997  -0.03
Ce1 0.500 0.500 0.000  1.05
Ce2 0.000 0.500 0.500  1.06
Ce3 0.500 0.500 0.500  1.06
Na1 0.000 0.000 0.000  0.00
Na2 0.000 0.000 0.500  0.00
Na3 0.500 0.000 0.000  0.00
Na4 0.500 0.000 0.500  0.00
Pa1 0.000 0.500 0.000  1.33

Calculated values
Formation energy without anion corrections   -18.384 eV/f.u.

(2)
DFT (PBE) results for a relaxed structure of Na3CePa2Te6.

Lattice parameters (Å, degrees): 7.628 7.628 8.150 98.99 98.99 120.01
Each line ends with the local moment (μB).
Positions (direct):
Te1 0.579 0.920 0.760  -0.03
Te2 0.740 0.740 0.240  -0.03
Te3 0.920 0.579 0.760  -0.03
Te4 0.421 0.080 0.240  -0.03
Te5 0.080 0.421 0.240  -0.03
Te6 0.260 0.260 0.760  -0.03
Na1 0.836 0.164 0.500  0.00
Na2 0.500 0.500 0.500  0.00
Na3 0.164 0.836 0.500  0.00
Ce1 0.000 0.000 0.000  1.13
Pa1 0.333 0.667 0.000  1.45
Pa2 0.667 0.333 0.000  1.45

Calculated values
Formation energy without anion corrections   -11.756 eV/f.u.

(3)
DFT (PBE) results for a relaxed structure of Na2Ce3Pb3.

Lattice parameters (Å, degrees): 4.441 4.929 11.467 102.41 101.17 90.00
Each line ends with the local moment (μB).
Positions (direct):
Pb1 0.864 0.864 0.729  -0.02
Pb2 0.136 0.136 0.271  -0.02
Pb3 0.000 0.500 0.000  -0.01
Ce1 0.387 0.387 0.773  0.84
Ce2 0.500 0.000 0.000  1.02
Ce3 0.613 0.613 0.227  0.84
Na1 0.250 0.750 0.500  0.00
Na2 0.750 0.250 0.500  0.00

Calculated values
Energy relative to the elements   -0.2264 eV/atom

Looking at spin magnetization for the records above, in order, we have 0.3134 0.4132 0.4280 μB per atom.
Looking at calculated density for the records above, in order, we have 5.5 6.1 7.5 Mg/m³.